# Zn2Pt

A crystal of Zn2Pt relaxed with PBEsol (meta-GGA SCAN, Alexandria via LeMat-Bulk).

abc: 3.7843 3.7843 23.2716
angles: 90.00 90.00 90.00
With the nearest neighbours (Å) after each atom.
Space group I4_1/amd (No. 141, origin choice 2)
Unique sites:
Zn  0.0000  0.2500  0.1241 x8  4 Pt 2.62-2.65, 8 Zn 2.68-2.77
Zn  0.0000  0.2500  0.2888 x8  6 Zn 2.62-2.77, 6 Pt 2.68-2.74
Pt  0.0000  0.2500  0.7963 x8  10 Zn 2.62-2.74, 2 Pt 2.87

Computed properties:
D(E_F) ... 5.91 states/eV/cell
E_tot ... -32.877 eV/atom
Mass density ... 12.99 g/cm³
Crystal system ... tetragonal
Magnetization ... 0.0000 μB per atom